No. 1
CsPrCl3, optimized geometry, DFT PBE-GGA; space-group type = P4/mbm (127); total moment = 0.00 μB/atom; electronic total energy = -4.17 eV per atom
1.0
7.877 0.000 0.000
0.000 7.877 0.000
0.000 0.000 5.586
Cs Pr Cl
2 2 6
direct
0.000 0.500 0.000
0.500 0.000 0.000
0.000 0.000 0.500
0.500 0.500 0.500
0.000 0.000 0.000
0.232 0.268 0.500
0.268 0.768 0.500
0.500 0.500 0.000
0.732 0.232 0.500
0.768 0.732 0.500

---

No. 2
UFe, optimized geometry, DFT PBE-GGA; space-group type = P6_3/mmc (194); energy of formation = 0.06 eV per atom; total moment = 0.51 μB/atom; electronic total energy = -9.74 eV per atom
1.0
3.917 0.000 0.000
-1.959 3.392 0.000
0.000 0.000 5.282
U Fe
2 2
direct
0.333 0.667 0.250
0.667 0.333 0.750
0.000 0.000 0.000
0.000 0.000 0.500

---

No. 3
NdMgZn4, optimized geometry, DFT PBE-GGA; space-group type = P6/mmm (191); total moment = 0.00 μB/atom; electronic total energy = -2.20 eV per atom
1.0
4.357 0.000 0.000
-2.178 3.773 0.000
0.000 0.000 7.078
Nd Mg Zn
1 1 4
direct
0.000 0.000 0.000
0.000 0.000 0.500
0.333 0.667 0.287
0.333 0.667 0.713
0.667 0.333 0.287
0.667 0.333 0.713

---

Look up the total moment of the first one.
0.00 μB/atom

---

Repeat the third record exactly.
NdMgZn4, optimized geometry, DFT PBE-GGA; space-group type = P6/mmm (191); total moment = 0.00 μB/atom; electronic total energy = -2.20 eV per atom
1.0
4.357 0.000 0.000
-2.178 3.773 0.000
0.000 0.000 7.078
Nd Mg Zn
1 1 4
direct
0.000 0.000 0.000
0.000 0.000 0.500
0.333 0.667 0.287
0.333 0.667 0.713
0.667 0.333 0.287
0.667 0.333 0.713